{
  "formula": "CrSi2P",
  "functional": "GGA-PBE",
  "state": "relaxed",
  "lattice": [[5.903, 0.000, 0.000], [0.000, 5.903, 0.000], [0.000, 0.000, 8.894]],
  "species": ["Cr", "Cr", "Cr", "Cr", "Si", "Si", "Si", "Si", "Si", "Si", "Si", "Si", "P", "P", "P", "P"],
  "fractional_positions": [[0.000, 0.000, 0.000], [0.000, 0.500, 0.250], [0.500, 0.000, 0.750], [0.500, 0.500, 0.500], [0.224, 0.250, 0.625], [0.250, 0.724, 0.875], [0.250, 0.776, 0.375], [0.276, 0.250, 0.125], [0.724, 0.750, 0.125], [0.750, 0.224, 0.375], [0.750, 0.276, 0.875], [0.776, 0.750, 0.625], [0.000, 0.000, 0.500], [0.000, 0.500, 0.750], [0.500, 0.000, 0.250], [0.500, 0.500, 0.000]],
  "m_tot_mub_per_fu": 3.0,
  "space_group": "I-42d",
  "dos_at_fermi_per_ev_fu": 0.1,
  "e_form_raw_ev_per_atom": 0.4072
}

=====

{
  "formula": "CrSiP",
  "functional": "GGA-PBE",
  "state": "relaxed",
  "lattice": [[5.023, 0.000, 0.000], [0.000, 3.053, 0.000], [0.000, 0.000, 10.337]],
  "species": ["Cr", "Cr", "Cr", "Cr", "Si", "Si", "Si", "Si", "P", "P", "P", "P"],
  "fractional_positions": [[0.081, 0.250, 0.185], [0.419, 0.750, 0.685], [0.581, 0.250, 0.315], [0.919, 0.750, 0.815], [0.179, 0.250, 0.952], [0.321, 0.750, 0.452], [0.679, 0.250, 0.548], [0.821, 0.750, 0.048], [0.080, 0.250, 0.655], [0.420, 0.750, 0.155], [0.580, 0.250, 0.845], [0.920, 0.750, 0.345]],
  "m_tot_mub_per_fu": 0.0,
  "space_group": "Pnma",
  "dos_at_fermi_per_ev_fu": 1.3,
  "e_form_raw_ev_per_atom": -0.2360
}